# 1
4
Lattice="-0.035 3.726 -4.370 -0.246 0.770 -5.685 -4.357 1.065 -1.695" Properties=species:S:1:pos:R:3 comment="Sc2BeCd (PBE-GGA, optimized geometry)" e_above_lowest_polymorph_mev_per_atom=161 pbc="T T T"
Sc -4.333 1.084 -1.743
Sc -1.297 1.273 -2.652
Be -2.379 2.735 -5.764
Cd -3.304 4.314 -9.161

# 2
4
Lattice="-0.100 -4.357 -0.127 -0.367 -2.281 3.698 -3.702 -2.123 0.894" Properties=species:S:1:pos:R:3 comment="ScBe2Cd (PBE-GGA, optimized geometry)" e_above_lowest_polymorph_mev_per_atom=17 pbc="T T T"
Sc 0.000 0.000 0.000
Be -3.127 -6.571 3.348
Be -1.042 -2.190 1.116
Cd -2.085 -4.381 2.232

# 3
5
Lattice="-0.879 0.316 5.529 -0.417 -5.586 0.253 5.522 -0.371 0.899" Properties=species:S:1:pos:R:3 comment="ScBeCd3 (PBE-GGA, optimized geometry)" e_above_lowest_polymorph_mev_per_atom=1019 pbc="T T T"
Be 2.113 -2.820 3.341
Cd -0.208 -2.793 0.127
Cd -0.439 0.158 2.764
Cd 2.761 -0.186 0.450
Sc 0.000 0.000 0.000

# 4
4
Lattice="-2.517 0.971 -2.758 0.228 -3.082 -1.293 -3.464 -2.965 2.117" Properties=species:S:1:pos:R:3 comment="ScBe2Cd (PBE-GGA, optimized geometry)" e_above_lowest_polymorph_mev_per_atom=0 pbc="T T T"
Be -0.001 -0.595 -0.209
Be -2.069 -0.432 -0.963
Cd -1.363 -2.724 0.285
Sc -3.938 -4.349 -0.636

# 5
## Sc2BeCd2 (PBE-GGA)

Data for a geometry-optimized Sc2BeCd2 structure.

Geometry as extended XYZ:
```
10
Lattice="-6.592 -0.065 -0.774 0.026 -6.629 0.331 -0.544 0.229 4.619" Properties=species:S:1:pos:R:3 pbc="T T T"
Cd -2.297 -5.669 0.010
Cd -4.269 -1.024 -0.452
Cd -0.968 -2.342 0.002
Cd -5.598 -4.352 -0.444
Be -3.283 -3.347 -0.221
Be 0.000 0.000 0.000
Sc -5.744 -2.136 1.776
Sc -4.658 -5.440 2.068
Sc -2.452 -1.025 2.109
Sc -1.366 -4.329 2.401
```

# 6
4
Lattice="4.310 -0.010 0.001 0.009 4.310 0.001 -0.001 -0.001 3.334" Properties=species:S:1:pos:R:3 comment="ScBe2Cd (PBE-GGA, optimized geometry)" e_above_lowest_polymorph_mev_per_atom=138 pbc="T T T"
Sc 0.004 2.154 1.668
Be 0.000 0.000 0.000
Be 2.159 2.150 0.001
Cd 2.154 -0.006 1.668

# 7
4
Lattice="4.768 0.000 0.000 2.384 4.130 0.000 2.384 1.377 3.893" Properties=species:S:1:pos:R:3 comment="Sc2BeCd (PBE-GGA, optimized geometry)" e_above_lowest_polymorph_mev_per_atom=407 pbc="T T T"
Sc 0.000 0.000 0.000
Sc 2.384 1.377 0.973
Cd 7.153 4.130 2.920
Be 4.768 2.753 1.947

# 8
4
Lattice="-7.667 2.958 3.606 -8.414 -0.206 3.114 -6.790 0.697 5.827" Properties=species:S:1:pos:R:3 comment="Sc2BeCd (PBE-GGA, optimized geometry)" e_above_lowest_polymorph_mev_per_atom=250 pbc="T T T"
Be -5.718 0.862 3.137
Sc -22.593 3.407 12.394
Sc -11.713 1.766 6.425
Cd -17.153 2.587 9.410

# 9
4
Lattice="8.256 -0.009 -0.006 7.672 3.048 -0.006 7.672 1.464 2.674" Properties=species:S:1:pos:R:3 comment="ScBe2Cd (PBE-GGA, optimized geometry)" e_above_lowest_polymorph_mev_per_atom=456 pbc="T T T"
Cd 5.900 1.126 0.666
Be 23.541 4.491 2.656
Be 11.860 2.263 1.338
Sc 17.700 3.377 1.997

# 10
4
Lattice="4.707 -0.012 -0.008 3.561 3.079 -0.008 1.173 0.435 5.723" Properties=species:S:1:pos:R:3 comment="Sc2BeCd (PBE-GGA, optimized geometry)" e_above_lowest_polymorph_mev_per_atom=307 pbc="T T T"
Be 2.360 0.876 1.427
Sc 4.777 1.772 2.681
Sc 8.212 3.046 0.158
Cd 7.081 2.627 4.281

# 11
## ScBeCd4 (PBE-GGA)

Data for a geometry-optimized ScBeCd4 structure.

Geometry as extended XYZ:
```
6
Lattice="-1.319 1.554 5.280 -5.190 1.933 1.168 -3.567 -3.146 3.068" Properties=species:S:1:pos:R:3 pbc="T T T"
Cd -3.780 0.128 3.569
Cd -5.562 -1.444 5.102
Cd -6.372 1.093 4.153
Cd -4.439 0.904 6.207
Sc -7.557 0.255 7.137
Be 0.000 0.000 0.000
```

# 12
## ScBe4Cd (PBE-GGA)

Data for a geometry-optimized ScBe4Cd structure.

Geometry as extended XYZ:
```
6
Lattice="0.000 3.359 3.359 3.359 0.000 3.359 3.359 3.359 0.000" Properties=species:S:1:pos:R:3 pbc="T T T"
Cd 5.038 5.038 5.038
Be 4.234 2.483 4.234
Be 2.483 2.483 2.483
Be 2.483 4.234 4.234
Be 4.234 4.234 2.483
Sc 0.000 0.000 0.000
```

# 13
4
Lattice="5.364 0.013 0.000 2.136 4.921 0.000 -3.750 -2.467 2.937" Properties=species:S:1:pos:R:3 comment="Sc2BeCd (PBE-GGA, optimized geometry)" e_above_lowest_polymorph_mev_per_atom=298 pbc="T T T"
Sc 1.068 2.460 1.468
Sc 0.000 0.000 0.000
Be 3.750 2.467 0.000
Cd 2.682 0.007 1.468

# 14
4
Lattice="4.755 0.005 -0.002 -0.005 4.755 -0.002 0.000 0.000 3.432" Properties=species:S:1:pos:R:3 comment="Sc2BeCd (PBE-GGA, optimized geometry)" e_above_lowest_polymorph_mev_per_atom=103 pbc="T T T"
Sc 0.000 0.000 0.000
Sc 2.375 2.380 -0.002
Cd -0.002 2.378 1.715
Be 2.378 0.003 1.715

# 15
4
Lattice="3.093 0.000 0.000 0.000 3.093 0.000 0.000 0.000 8.062" Properties=species:S:1:pos:R:3 comment="Sc2BeCd (PBE-GGA, optimized geometry)" e_above_lowest_polymorph_mev_per_atom=198 pbc="T T T"
Sc 1.546 1.546 2.396
Sc 0.000 0.000 7.967
Cd 1.546 1.546 5.664
Be 0.000 0.000 4.128

# 16
5
Lattice="-0.498 5.110 1.035 -3.628 -1.086 3.618 3.745 -0.373 3.643" Properties=species:S:1:pos:R:3 comment="Sc3BeCd (PBE-GGA, optimized geometry)" e_above_lowest_polymorph_mev_per_atom=794 pbc="T T T"
Sc -0.249 2.555 0.518
Sc 1.872 -0.187 1.822
Sc -1.814 -0.543 1.809
Be -0.191 1.825 4.148
Cd 0.000 0.000 0.000

# 17
4
Lattice="3.301 0.000 0.000 0.000 5.599 0.005 0.000 3.779 4.514" Properties=species:S:1:pos:R:3 comment="Sc2BeCd (PBE-GGA, optimized geometry)" e_above_lowest_polymorph_mev_per_atom=347 pbc="T T T"
Sc 1.651 2.800 0.003
Sc 0.000 0.000 0.000
Be 1.651 4.689 2.260
Cd 0.000 1.890 2.257

# 18
4
Lattice="-2.463 0.129 -1.577 0.637 -2.590 -1.207 -3.452 -3.240 5.128" Properties=species:S:1:pos:R:3 comment="ScBe2Cd (PBE-GGA, optimized geometry)" e_above_lowest_polymorph_mev_per_atom=70 pbc="T T T"
Be -0.192 -0.180 0.286
Be -1.580 -1.857 -0.401
Sc -3.661 -3.809 2.689
Cd -1.571 -1.474 2.334

# 19
8
Lattice="4.204 0.000 0.000 0.000 4.204 0.000 2.102 2.102 8.255" Properties=species:S:1:pos:R:3 comment="ScBe2Cd (PBE-GGA, optimized geometry)" e_above_lowest_polymorph_mev_per_atom=380 pbc="T T T"
Sc 2.102 4.204 4.127
Sc 2.102 2.102 0.000
Be 3.153 2.101 6.191
Be 4.203 3.153 2.064
Be 4.206 1.051 2.064
Be 5.255 2.104 6.191
Cd 0.000 0.000 0.000
Cd 4.204 2.102 4.127

# 20
5
Lattice="4.662 0.000 0.000 0.000 4.662 0.000 0.000 0.000 4.662" Properties=species:S:1:pos:R:3 comment="ScBeCd3 (PBE-GGA, optimized geometry)" e_above_lowest_polymorph_mev_per_atom=0 pbc="T T T"
Cd 0.000 0.000 2.331
Cd 0.000 2.331 0.000
Cd 2.331 0.000 0.000
Sc 2.331 2.331 2.331
Be 0.000 0.000 0.000

Calculated final energy, -17.3, -14.5, -6.9, -14.6, -36.0, -14.0, -16.4, -17.0, -12.8, -16.8, -11.7, -21.7, -16.8, -17.6, -17.2, -18.8, -16.6, -14.3, -26.1, -12.0 eV/cell (same order as the records).
Calculated ΔE_f, -0.26, 1.04, 27.39, 0.64, 1.05, 3.83, 5.40, 1.79, 11.16, 3.09, 7.57, 1.89, 2.88, -1.59, 0.58, 22.27, 4.04, 2.25, 9.40, 3.90 kcal/mol of atoms (same order as the records).